1.
Computed, not measured: a relaxed Sr2MgCdRe crystal at the PBE level of DFT.

Calculated values
Energy of formation ... 1.017 eV per atom
Total magnetic moment ... 2.44 μB per formula unit
Total energy ... -2.648 eV/atom

Geometry as CIF:
```
data_Sr2MgCdRe
_chemical_formula_sum 'Sr2 Mg1 Cd1 Re1'
_space_group_name_H-M_alt 'P 1'
_space_group_IT_number 1
_cell_length_a 6.087
_cell_length_b 6.087
_cell_length_c 5.136
_cell_angle_alpha 90.00
_cell_angle_beta 90.00
_cell_angle_gamma 90.00
loop_
_space_group_symop_operation_xyz
'x,y,z'
loop_
_atom_site_label
_atom_site_type_symbol
_atom_site_fract_x
_atom_site_fract_y
_atom_site_fract_z
Sr1 Sr 0.000 0.500 0.000
Sr2 Sr 0.500 0.000 0.000
Mg1 Mg 0.000 0.000 0.500
Cd1 Cd 0.500 0.500 0.000
Re1 Re 0.500 0.500 0.500
```

---

2.
Computed, not measured: a relaxed TlGeSb2 crystal at the PBE level of DFT.

Calculated values
Total magnetic moment ... 0.00 μB per formula unit
Formation energy (no corrections) ... 0.6 eV/f.u.
Excess energy over the best structure of this formula in the dataset ... 0.05 eV per formula unit
Total energy ... -3.651 eV/atom

Geometry as CIF:
```
data_TlGeSb2
_chemical_formula_sum 'Tl1 Ge1 Sb2'
_space_group_name_H-M_alt 'P 1'
_space_group_IT_number 1
_cell_length_a 8.234
_cell_length_b 8.234
_cell_length_c 8.234
_cell_angle_alpha 28.49
_cell_angle_beta 28.49
_cell_angle_gamma 28.49
loop_
_space_group_symop_operation_xyz
'x,y,z'
loop_
_atom_site_label
_atom_site_type_symbol
_atom_site_fract_x
_atom_site_fract_y
_atom_site_fract_z
Tl1 Tl 0.000 0.000 0.000
Ge1 Ge 0.832 0.832 0.832
Sb1 Sb 0.237 0.237 0.237
Sb2 Sb 0.430 0.430 0.430
```

---

3.
Computed, not measured: a relaxed La2Tb4NdHo crystal at the PBE level of DFT.

Calculated values
Energy of formation ... 0.027 eV per atom
Total magnetic moment ... 0.00 μB per formula unit
Total energy ... -4.688 eV/atom

Geometry as CIF:
```
data_La2Tb4NdHo
_chemical_formula_sum 'La2 Tb4 Nd1 Ho1'
_space_group_name_H-M_alt 'P 1'
_space_group_IT_number 1
_cell_length_a 5.129
_cell_length_b 5.162
_cell_length_c 10.152
_cell_angle_alpha 90.00
_cell_angle_beta 90.05
_cell_angle_gamma 90.00
loop_
_space_group_symop_operation_xyz
'x,y,z'
loop_
_atom_site_label
_atom_site_type_symbol
_atom_site_fract_x
_atom_site_fract_y
_atom_site_fract_z
La1 La 0.000 0.000 0.000
La2 La 0.500 0.500 0.500
Tb1 Tb 0.000 0.500 0.248
Tb2 Tb 0.000 0.500 0.752
Tb3 Tb 0.500 0.000 0.248
Tb4 Tb 0.500 0.000 0.752
Nd1 Nd 0.000 0.000 0.500
Ho1 Ho 0.500 0.500 0.000
```

---

4.
Computed, not measured: a relaxed TiSb2IO crystal at the PBE level of DFT.

Calculated values
Total magnetic moment ... 0.00 μB per formula unit
Formation energy (no corrections) ... 0.7 eV/f.u.
Excess energy over the best structure of this formula in the dataset ... 0.00 eV per formula unit
Total energy ... -4.381 eV/atom

Geometry as CIF:
```
data_TiSb2IO
_chemical_formula_sum 'Ti1 Sb2 I1 O1'
_space_group_name_H-M_alt 'P 1'
_space_group_IT_number 1
_cell_length_a 4.448
_cell_length_b 4.448
_cell_length_c 5.875
_cell_angle_alpha 90.00
_cell_angle_beta 90.00
_cell_angle_gamma 90.00
loop_
_space_group_symop_operation_xyz
'x,y,z'
loop_
_atom_site_label
_atom_site_type_symbol
_atom_site_fract_x
_atom_site_fract_y
_atom_site_fract_z
Ti1 Ti 0.000 0.000 0.000
Sb1 Sb 0.000 0.500 0.500
Sb2 Sb 0.500 0.000 0.500
I1 I 0.500 0.500 0.000
O1 O 0.500 0.500 0.500
```

---

5.
Computed, not measured: a relaxed SbMoRh2 crystal at the PBE level of DFT.

Calculated values
Total magnetic moment ... 0.00 μB per formula unit
Formation energy (no corrections) ... -0.4 eV/f.u.
Total energy ... -7.505 eV/atom

Geometry as CIF:
```
data_SbMoRh2
_chemical_formula_sum 'Sb1 Mo1 Rh2'
_space_group_name_H-M_alt 'P 1'
_space_group_IT_number 1
_cell_length_a 2.968
_cell_length_b 3.900
_cell_length_c 5.621
_cell_angle_alpha 90.00
_cell_angle_beta 90.26
_cell_angle_gamma 90.00
loop_
_space_group_symop_operation_xyz
'x,y,z'
loop_
_atom_site_label
_atom_site_type_symbol
_atom_site_fract_x
_atom_site_fract_y
_atom_site_fract_z
Sb1 Sb 0.000 0.000 0.000
Mo1 Mo 0.000 0.000 0.500
Rh1 Rh 0.499 0.500 0.265
Rh2 Rh 0.501 0.500 0.735
```

---

6.
Computed, not measured: a relaxed CeNdMgCd crystal at the PBE level of DFT.

Calculated values
Energy of formation ... -0.097 eV per atom
Total magnetic moment ... 1.53 μB per formula unit
Total energy ... -3.400 eV/atom

Geometry as CIF:
```
data_CeNdMgCd
_chemical_formula_sum 'Ce1 Nd1 Mg1 Cd1'
_space_group_name_H-M_alt 'P 1'
_space_group_IT_number 1
_cell_length_a 5.451
_cell_length_b 5.451
_cell_length_c 5.451
_cell_angle_alpha 60.00
_cell_angle_beta 60.00
_cell_angle_gamma 60.00
loop_
_space_group_symop_operation_xyz
'x,y,z'
loop_
_atom_site_label
_atom_site_type_symbol
_atom_site_fract_x
_atom_site_fract_y
_atom_site_fract_z
Ce1 Ce 0.000 0.000 0.000
Nd1 Nd 0.500 0.500 0.500
Mg1 Mg 0.750 0.750 0.750
Cd1 Cd 0.250 0.250 0.250
```